Entry 1:
Density functional theory data (GGA-PBE) for crystalline NaMgZn2Pt at its relaxed geometry.

Structure (POSCAR):
```
NaMgZn2Pt
1.0
4.918 0.000 0.000
0.000 4.918 0.000
0.000 0.000 4.988
Pt Zn Na Mg
1 2 1 1
Cartesian
0.000 0.000 0.000 Pt
0.000 2.459 0.000 Zn
2.459 0.000 0.000 Zn
2.459 2.459 2.494 Na
0.000 0.000 2.494 Mg
```

- V: 24.1 Å³ per atom
- Formation energy: -0.257 eV/atom
- Space-group type: P4/mmm (123)
- DOS(E_F): 0.3016 states/eV/atom

=====

Entry 2:
Density functional theory data (GGA-PBE) for crystalline CaSc2Co at its relaxed geometry.

Structure (POSCAR):
```
CaSc2Co
1.0
-1.913 2.216 3.002
-0.516 -3.923 2.567
3.805 0.732 1.884
Sc Co Ca
2 1 1
Cartesian
0.000 0.000 0.000 Sc
-1.214 -0.854 2.785 Sc
1.645 -1.595 2.225 Co
0.946 1.474 2.443 Ca
```

- V: 21.3 Å³ per atom
- Formation energy: 0.328 eV/atom
- Energy relative to the lowest polymorph listed for this composition: 0.415 eV/atom
- Space-group type: Pmmm (47)
- DOS(E_F): 1.1776 states/eV/atom

=====

Entry 3:
Density functional theory data (GGA-PBE) for crystalline GdMgHg2 at its relaxed geometry.

Structure (POSCAR):
```
GdMgHg2
1.0
5.116 0.000 0.000
2.558 4.431 0.000
2.558 1.477 4.177
Hg Mg Gd
2 1 1
Cartesian
0.000 0.000 0.000 Hg
5.116 2.954 2.089 Hg
2.558 1.477 1.044 Mg
7.674 4.431 3.133 Gd
```

- V: 23.7 Å³ per atom
- Formation energy: -0.457 eV/atom
- Space-group type: Fm-3m (225)
- DOS(E_F): 0.6689 states/eV/atom